(1)
Sc2ReMo (PBE-GGA, relaxed); formation energy from the elements = 0.107 eV per atom; magnetization = 0.00 Bohr magnetons per cell; excess energy over the best structure of this formula in the dataset = 196 meV per atom; SG = No. 71; calculated density = 8.8 g cm⁻³
1.0
-1.640 2.324 4.611
1.640 -2.324 4.611
1.640 2.324 -4.611
Sc Re Mo
2 1 1
Direct
0.242 0.242 0.000
0.758 0.758 0.000
0.000 0.500 0.500
0.500 0.000 0.500

***

(2)
LaBiAu2 (PBE-GGA, relaxed); formation energy from the elements = -0.408 eV per atom; magnetization = 0.00 Bohr magnetons per cell; SG = No. 122; calculated density = 10.7 g cm⁻³
1.0
-2.395 2.395 10.034
2.395 -2.395 10.034
2.395 2.395 -10.034
La Bi Au
2 2 4
Direct
0.000 0.000 0.000
0.750 0.250 0.500
0.250 0.750 0.500
0.500 0.500 0.000
0.176 0.625 0.051
0.375 0.426 0.551
0.574 0.125 0.949
0.875 0.824 0.449

***

(3)
PuAs2 (PBE-GGA, relaxed); formation energy from the elements = -0.512 eV per atom; magnetization = 4.93 Bohr magnetons per cell; SG = No. 139; calculated density = 9.6 g cm⁻³
1.0
-1.968 1.968 4.381
1.968 -1.968 4.381
1.968 1.968 -4.381
Pu As
1 2
Direct
0.000 0.000 0.000
0.361 0.361 0.000
0.639 0.639 0.000

***

(4)
Sr4POs (PBE-GGA, relaxed); formation energy from the elements = 1.161 eV per atom; magnetization = 0.85 Bohr magnetons per cell; SG = No. 216; calculated density = 5.2 g cm⁻³
1.0
0.000 4.492 4.492
4.492 0.000 4.492
4.492 4.492 0.000
Sr P Os
4 1 1
Direct
0.125 0.125 0.125
0.125 0.125 0.626
0.125 0.626 0.125
0.626 0.125 0.125
0.500 0.500 0.500
0.750 0.750 0.750

***

(5)
NiGeRu (PBE-GGA, relaxed); formation energy from the elements = -0.115 eV per atom; magnetization = 0.00 Bohr magnetons per cell; SG = No. 6; calculated density = 9.6 g cm⁻³
1.0
4.270 0.000 0.000
0.000 2.989 0.000
-0.683 0.000 6.298
Ni Ge Ru
2 2 2
Direct
0.000 0.000 0.000
0.308 0.000 0.658
0.495 0.000 0.315
0.859 0.500 0.710
0.495 0.500 0.994
0.994 0.500 0.341

***

(6)
Li2POs (PBE-GGA, relaxed); formation energy from the elements = -0.174 eV per atom; magnetization = 0.00 Bohr magnetons per cell; SG = No. 119; calculated density = 8.3 g cm⁻³
1.0
-2.023 2.023 2.889
2.023 -2.023 2.889
2.023 2.023 -2.889
Li P Os
2 1 1
Direct
0.000 0.000 0.000
0.750 0.250 0.500
0.500 0.500 0.000
0.250 0.750 0.500

***

(7)
Nd3Ho8Sc2 (PBE-GGA, relaxed); formation energy from the elements = 0.248 eV per atom; magnetization = 0.00 Bohr magnetons per cell; SG = No. 12; calculated density = 7.3 g cm⁻³
1.0
9.754 -3.864 0.000
9.754 3.864 0.000
-0.004 0.000 5.578
Nd Ho Sc
3 8 2
Direct
0.000 0.000 0.000
0.294 0.706 0.500
0.706 0.294 0.500
0.137 0.137 0.500
0.177 0.594 0.999
0.322 0.322 0.499
0.406 0.823 0.001
0.594 0.177 0.999
0.678 0.678 0.501
0.823 0.406 0.001
0.863 0.863 0.500
0.240 0.240 0.999
0.760 0.760 0.001

***

(8)
SrAc2Ho (PBE-GGA, relaxed); formation energy from the elements = 0.067 eV per atom; magnetization = 0.00 Bohr magnetons per cell; excess energy over the best structure of this formula in the dataset = 0 meV per atom; SG = No. 123; calculated density = 6.8 g cm⁻³
1.0
3.974 0.000 0.000
0.000 3.974 0.000
0.000 0.000 10.878
Sr Ac Ho
1 2 1
Direct
0.000 0.000 0.000
0.500 0.500 0.278
0.500 0.500 0.722
0.000 0.000 0.500